No. 1
{
  "formula": "Pm2Cu3Sn4Ru",
  "functional": "PBE",
  "state": "optimized geometry",
  "cell": [[4.466, 0.000, 0.000], [0.000, 4.466, 0.000], [0.000, 0.000, 10.734]],
  "species": ["Pm", "Pm", "Cu", "Cu", "Cu", "Sn", "Sn", "Sn", "Sn", "Ru"],
  "fractional_positions": [[0.000, 0.500, 0.739], [0.500, 0.000, 0.261], [0.000, 0.000, 0.500], [0.500, 0.000, 0.865], [0.000, 0.500, 0.135], [0.000, 0.000, 0.000], [0.500, 0.500, 0.000], [0.500, 0.000, 0.629], [0.000, 0.500, 0.371], [0.500, 0.500, 0.500]],
  "dos_ef_per_ev_cell": 6.66,
  "e_form_ev_per_atom": -0.35
}

---

No. 2
{
  "formula": "PmThCuRu",
  "functional": "PBE",
  "state": "optimized geometry",
  "cell": [[-0.612, -3.849, -3.161], [0.393, -4.712, 1.679], [-4.086, -2.894, 0.332]],
  "species": ["Ru", "Pm", "Cu", "Th"],
  "fractional_positions": [[0.250, 0.250, 0.250], [0.000, 0.000, 0.000], [0.750, 0.750, 0.750], [0.500, 0.500, 0.500]],
  "dos_ef_per_ev_cell": 4.42,
  "e_form_ev_per_atom": -0.22
}

---

No. 3
{
  "formula": "PmYCuRu",
  "functional": "PBE",
  "state": "optimized geometry",
  "cell": [[4.929, 0.000, 0.000], [2.464, 4.269, 0.000], [2.464, 1.423, 4.024]],
  "species": ["Pm", "Ru", "Cu", "Y"],
  "fractional_positions": [[0.000, 0.000, 0.000], [0.750, 0.750, 0.750], [0.250, 0.250, 0.250], [0.500, 0.500, 0.500]],
  "dos_ef_per_ev_cell": 3.23,
  "e_form_ev_per_atom": -0.25
}

---

No. 4
{
  "formula": "Pm2Zn12Cu3Ru",
  "functional": "PBE",
  "state": "optimized geometry",
  "cell": [[-11.519, -3.203, 3.658], [-8.381, -7.085, 5.991], [-8.969, -2.182, 8.434]],
  "species": ["Zn", "Zn", "Zn", "Zn", "Zn", "Zn", "Zn", "Zn", "Zn", "Zn", "Zn", "Zn", "Pm", "Pm", "Cu", "Cu", "Cu", "Ru"],
  "fractional_positions": [[0.892, 0.388, 0.892], [0.395, 0.867, 0.395], [0.108, 0.108, 0.612], [0.108, 0.612, 0.108], [0.133, 0.605, 0.605], [0.605, 0.133, 0.605], [0.892, 0.892, 0.388], [0.605, 0.605, 0.133], [0.395, 0.395, 0.867], [0.612, 0.108, 0.108], [0.867, 0.395, 0.395], [0.388, 0.892, 0.892], [0.355, 0.355, 0.355], [0.645, 0.645, 0.645], [0.000, 0.500, 0.000], [0.000, 0.000, 0.500], [0.500, 0.000, 0.000], [0.000, 0.000, 0.000]],
  "dos_ef_per_ev_cell": 7.81,
  "e_form_ev_per_atom": -0.03
}

---

No. 5
{
  "formula": "PmZnCuRu",
  "functional": "PBE",
  "state": "optimized geometry",
  "cell": [[4.651, 0.000, 0.000], [2.326, 4.028, 0.000], [2.326, 1.343, 3.798]],
  "species": ["Pm", "Zn", "Cu", "Ru"],
  "fractional_positions": [[0.500, 0.500, 0.500], [0.000, 0.000, 0.000], [0.250, 0.250, 0.250], [0.750, 0.750, 0.750]],
  "dos_ef_per_ev_cell": 1.97,
  "e_form_ev_per_atom": 0.01
}

---

No. 6
{
  "formula": "Pm4ZnCu2Ru",
  "functional": "PBE",
  "state": "optimized geometry",
  "cell": [[-0.275, -1.670, 4.784], [2.539, -4.171, 1.381], [7.247, 2.662, 4.038]],
  "species": ["Cu", "Cu", "Pm", "Pm", "Pm", "Pm", "Zn", "Ru"],
  "fractional_positions": [[0.743, 0.743, 0.770], [0.257, 0.257, 0.230], [0.381, 0.381, 0.858], [0.130, 0.130, 0.610], [0.619, 0.619, 0.142], [0.870, 0.870, 0.390], [0.000, 0.000, 0.000], [0.500, 0.500, 0.500]],
  "dos_ef_per_ev_cell": 5.36,
  "e_form_ev_per_atom": -0.23
}

---

No. 7
{
  "formula": "PmCuS2",
  "functional": "PBE",
  "state": "optimized geometry",
  "cell": [[3.853, 0.000, 0.000], [0.000, 6.935, 0.000], [0.000, 0.000, 12.113]],
  "species": ["Cu", "Cu", "Cu", "Cu", "S", "S", "S", "S", "S", "S", "S", "S", "Pm", "Pm", "Pm", "Pm"],
  "fractional_positions": [[0.750, 0.284, 0.884], [0.250, 0.716, 0.116], [0.250, 0.216, 0.384], [0.750, 0.784, 0.616], [0.750, 0.058, 0.725], [0.750, 0.292, 0.473], [0.750, 0.792, 0.027], [0.250, 0.942, 0.275], [0.250, 0.708, 0.527], [0.250, 0.208, 0.973], [0.750, 0.558, 0.775], [0.250, 0.442, 0.225], [0.250, 0.345, 0.642], [0.750, 0.155, 0.142], [0.750, 0.655, 0.358], [0.250, 0.845, 0.858]],
  "energy_ev_per_atom": -5.657
}

---

No. 8
{
  "formula": "Pm2CuS",
  "functional": "PBE",
  "state": "optimized geometry",
  "cell": [[-0.654, -3.328, -1.033], [2.068, 0.475, -2.840], [5.553, -2.232, 3.672]],
  "species": ["S", "Pm", "Pm", "Cu"],
  "fractional_positions": [[0.500, 0.500, 0.500], [0.000, 0.000, 0.254], [0.000, 0.000, 0.746], [0.500, 0.500, 0.000]],
  "dos_ef_per_ev_cell": 3.27,
  "relative_energy_ev_per_atom": 0.266
}

---

Respective M_tot values: 0.0, 0.0, 0.0, 0.0, 0.0, 0.0, 0.0, 0.0 μB/cell.